DFT (GGA-PBE) results for a geometry-optimized ScPaZn4 structure.

Values from the calculation:
* formation enthalpy at 0 K: -161 meV/atom
* N(E_F): 0.872 states/eV/atom
* symmetry: F-43m
* crystal system: cubic
* energy above the most stable polymorph in this dataset: 47 meV per atom

```
ScPaZn4
1.0
-0.593 3.481 -4.025
-4.722 2.395 -0.794
-0.562 5.222 1.038
Zn Pa Sc
4 1 1
Cartesian
-1.304 5.740 -1.966 Zn
-3.379 5.194 -0.343 Zn
-3.394 4.319 -2.887 Zn
-3.677 6.943 -2.365 Zn
-1.469 2.774 -0.945 Pa
0.000 0.000 0.000 Sc
```